1.
Computed, not measured: crystalline Dy3HoTm2Sb6 at its relaxed geometry at the GGA-PBE level of DFT.

Cell lengths 4.364, 8.729, 9.758 Å; angles 102.85, 102.92, 90.00 degrees
Sites, in units of the cell vectors:
Sb 0.999 0.750 0.998
Sb 0.333 0.915 0.667
Sb 0.333 0.419 0.665
Sb 0.667 0.085 0.333
Sb 0.667 0.581 0.335
Sb 0.001 0.250 0.002
Dy 0.834 0.167 0.667
Dy 0.500 0.500 0.000
Dy 0.166 0.833 0.333
Ho 0.500 0.000 0.000
Tm 0.833 0.667 0.666
Tm 0.167 0.333 0.334

Formation energy (no corrections) in eV per atom: -1.11

2.
Computed, not measured: crystalline BAsSBr2 at its relaxed geometry at the GGA-PBE level of DFT.

Cell lengths 4.401, 4.401, 5.078 Å; angles 90.00, 90.00, 90.00 degrees
Site moments in Bohr magnetons follow the coordinates.
Sites, in units of the cell vectors:
Br 0.500 0.000 0.000  0.02
Br 0.000 0.500 0.000  0.02
As 0.000 0.000 0.500  -0.05
S 0.500 0.500 0.500  0.17
B 0.000 0.000 0.000  -0.01

Formation energy (no corrections) in eV per atom: 0.94
Energy above the most stable polymorph in this dataset in meV/atom: 0

3.
Computed, not measured: crystalline AlSi2Se6 at its relaxed geometry at the GGA-PBE level of DFT.

Cell lengths 6.323, 9.280, 9.280 Å; angles 94.02, 73.47, 73.47 degrees
Sites, in units of the cell vectors:
Se 0.913 0.186 0.989
Se 0.626 0.578 0.154
Se 0.648 0.267 0.408
Se 0.087 0.814 0.011
Se 0.374 0.422 0.846
Se 0.874 0.846 0.422
Se 0.413 0.989 0.186
Se 0.148 0.408 0.267
Se 0.352 0.733 0.592
Se 0.852 0.592 0.733
Se 0.587 0.011 0.814
Se 0.126 0.154 0.578
Si 0.152 0.644 0.798
Si 0.348 0.202 0.356
Si 0.848 0.356 0.202
Si 0.652 0.798 0.644
Al 0.250 0.207 0.793
Al 0.750 0.793 0.207

Formation energy (no corrections) in eV per atom: -0.42

4.
Computed, not measured: crystalline UNiIr at its relaxed geometry at the GGA-PBE level of DFT.

Cell lengths 4.898, 5.174, 5.174 Å; angles 63.27, 61.75, 61.75 degrees
Site moments in Bohr magnetons follow the coordinates.
Sites, in units of the cell vectors:
U 0.133 0.617 0.617  1.68
U 0.867 0.383 0.383  1.68
Ir 0.500 0.500 0.000  -0.13
Ir 0.500 0.000 0.500  -0.13
Ni 0.000 0.000 0.000  0.01
Ni 0.500 0.000 0.000  0.01

Energy relative to the elements in eV per atom: -0.466
Energy above the most stable polymorph in this dataset in meV/atom: 0

5.
Computed, not measured: crystalline Ga2Te2PtSe2 at its relaxed geometry at the GGA-PBE level of DFT.

Cell lengths 3.954, 6.117, 8.755 Å; angles 74.51, 101.36, 72.34 degrees
Sites, in units of the cell vectors:
Se 0.963 0.389 0.393
Se 0.037 0.611 0.607
Pt 0.000 0.000 0.000
Te 0.534 0.100 0.177
Te 0.466 0.900 0.823
Ga 0.296 0.561 0.195
Ga 0.704 0.439 0.805

Formation energy (no corrections) in eV per atom: -0.35

6.
Computed, not measured: crystalline Hf2CrPd9 at its relaxed geometry at the GGA-PBE level of DFT.

Cell lengths 3.986, 3.986, 11.923 Å; angles 90.00, 90.00, 90.00 degrees
Site moments in Bohr magnetons follow the coordinates.
Sites, in units of the cell vectors:
Pd 0.000 0.500 0.835  -0.03
Pd 0.500 0.500 0.667  -0.03
Pd 0.500 0.000 0.500  -0.01
Pd 0.500 0.500 0.333  -0.03
Pd 0.500 0.500 0.000  -0.07
Pd 0.500 0.000 0.165  -0.03
Pd 0.500 0.000 0.835  -0.03
Pd 0.000 0.500 0.165  -0.03
Pd 0.000 0.500 0.500  -0.01
Hf 0.000 0.000 0.328  -0.03
Hf 0.000 0.000 0.672  -0.03
Cr 0.000 0.000 0.000  3.15

Energy relative to the elements in eV per atom: -0.621

Number 1: total magnetization 0.000 μB/atom, volume 353 Å³ per cell. Number 2: total magnetization 0.041 μB/atom, volume 98 Å³ per cell. Number 3: total magnetization 0.000 μB/atom, volume 494 Å³ per cell. Number 4: total magnetization 0.556 μB/atom, volume 97 Å³ per cell. Number 5: total magnetization 0.000 μB/atom, volume 185 Å³ per cell. Number 6: total magnetization 0.241 μB/atom, volume 189 Å³ per cell.